Density functional theory data (GGA-PBE) for a relaxed structure of LaEr3Pt2. Values from VASP.

Calculated values
D(E_F), states/eV/atom: 0.93
Formation enthalpy at 0 K, kcal/mol of atoms: -21.80
Volume, Å³ per cell: 305.82
ρ, g/cm³: 11.2

Cell and atoms, written as Quantum ESPRESSO input:
```
&SYSTEM
  ibrav = 0, nat = 12, ntyp = 3
/
ATOMIC_SPECIES
La 138.91 La.upf
Er 167.26 Er.upf
Pt 195.08 Pt.upf
CELL_PARAMETERS angstrom
4.781 0.000 0.000
0.000 8.901 0.000
0.000 0.000 7.186
ATOMIC_POSITIONS crystal
La 0.000 0.079 0.000
La 0.000 0.921 0.500
Er 0.000 0.338 0.637
Er 0.000 0.662 0.137
Er 0.500 0.181 0.352
Er 0.500 0.423 0.982
Er 0.500 0.577 0.482
Er 0.500 0.819 0.852
Pt 0.000 0.347 0.239
Pt 0.000 0.653 0.739
Pt 0.500 0.167 0.743
Pt 0.500 0.833 0.243
```

---

Density functional theory data (GGA-PBE) for a relaxed structure of LaEr2Pt. Values from VASP.

Calculated values
D(E_F), states/eV/atom: 1.07
Energy above the most stable polymorph in this dataset, meV/atom: 68
Formation enthalpy at 0 K, kcal/mol of atoms: -14.60
Volume, Å³ per cell: 109.75
ρ, g/cm³: 10.1

Cell and atoms, written as Quantum ESPRESSO input:
```
&SYSTEM
  ibrav = 0, nat = 4, ntyp = 3
/
ATOMIC_SPECIES
La 138.91 La.upf
Er 167.26 Er.upf
Pt 195.08 Pt.upf
CELL_PARAMETERS angstrom
3.550 0.000 0.000
0.000 3.550 0.000
0.000 0.000 8.708
ATOMIC_POSITIONS crystal
La 0.000 0.000 0.000
Er 0.500 0.500 0.315
Er 0.500 0.500 0.685
Pt 0.000 0.000 0.500
```

---

Density functional theory data (GGA-PBE) for a relaxed structure of LaErPt. Values from VASP.

Calculated values
D(E_F), states/eV/atom: 0.80
Energy above the most stable polymorph in this dataset, meV/atom: 138
Formation enthalpy at 0 K, kcal/mol of atoms: -18.15
Volume, Å³ per cell: 87.18
ρ, g/cm³: 9.5

Cell and atoms, written as Quantum ESPRESSO input:
```
&SYSTEM
  ibrav = 0, nat = 3, ntyp = 3
/
ATOMIC_SPECIES
La 138.91 La.upf
Er 167.26 Er.upf
Pt 195.08 Pt.upf
CELL_PARAMETERS angstrom
0.000 3.519 3.519
3.519 0.000 3.519
3.519 3.519 0.000
ATOMIC_POSITIONS crystal
La 0.000 0.000 0.000
Er 0.500 0.500 0.500
Pt 0.250 0.250 0.250
```

---

Density functional theory data (GGA-PBE) for a relaxed structure of LaEr3Pt. Values from VASP.

Calculated values
D(E_F), states/eV/atom: 1.50
Formation enthalpy at 0 K, kcal/mol of atoms: -9.87
Volume, Å³ per cell: 162.83
ρ, g/cm³: 8.5

Cell and atoms, written as Quantum ESPRESSO input:
```
&SYSTEM
  ibrav = 0, nat = 5, ntyp = 3
/
ATOMIC_SPECIES
La 138.91 La.upf
Er 167.26 Er.upf
Pt 195.08 Pt.upf
CELL_PARAMETERS angstrom
5.461 0.000 0.000
0.000 5.461 0.000
0.000 0.000 5.461
ATOMIC_POSITIONS crystal
La 0.000 0.000 0.000
Er 0.000 0.500 0.500
Er 0.500 0.000 0.500
Er 0.500 0.500 0.000
Pt 0.500 0.500 0.500
```

---

Density functional theory data (GGA-PBE) for a relaxed structure of La2ErPt2. Values from VASP.

Calculated values
D(E_F), states/eV/atom: 0.88
Formation enthalpy at 0 K, kcal/mol of atoms: -23.20
Volume, Å³ per cell: 260.94
ρ, g/cm³: 10.6

Cell and atoms, written as Quantum ESPRESSO input:
```
&SYSTEM
  ibrav = 0, nat = 10, ntyp = 3
/
ATOMIC_SPECIES
La 138.91 La.upf
Er 167.26 Er.upf
Pt 195.08 Pt.upf
CELL_PARAMETERS angstrom
7.912 0.000 0.000
0.000 7.912 0.000
0.000 0.000 4.168
ATOMIC_POSITIONS crystal
La 0.163 0.337 0.000
La 0.337 0.837 0.000
La 0.663 0.163 0.000
La 0.837 0.663 0.000
Er 0.000 0.000 0.500
Er 0.500 0.500 0.500
Pt 0.143 0.643 0.500
Pt 0.357 0.143 0.500
Pt 0.643 0.857 0.500
Pt 0.857 0.357 0.500
```

---

Density functional theory data (GGA-PBE) for a relaxed structure of LaEr2Pt. Values from VASP.

Calculated values
D(E_F), states/eV/atom: 1.47
Energy above the most stable polymorph in this dataset, meV/atom: 159
Formation enthalpy at 0 K, kcal/mol of atoms: -12.49
Volume, Å³ per cell: 124.61
ρ, g/cm³: 8.9

Cell and atoms, written as Quantum ESPRESSO input:
```
&SYSTEM
  ibrav = 0, nat = 4, ntyp = 3
/
ATOMIC_SPECIES
La 138.91 La.upf
Er 167.26 Er.upf
Pt 195.08 Pt.upf
CELL_PARAMETERS angstrom
1.961 1.132 9.355
-1.961 1.132 9.355
0.000 -2.264 9.355
ATOMIC_POSITIONS crystal
La 0.000 0.000 0.000
Er 0.224 0.224 0.224
Er 0.776 0.776 0.776
Pt 0.500 0.500 0.500
```

---

Density functional theory data (GGA-PBE) for a relaxed structure of LaErPt. Values from VASP.

Calculated values
D(E_F), states/eV/atom: 0.99
Energy above the most stable polymorph in this dataset, meV/atom: 226
Formation enthalpy at 0 K, kcal/mol of atoms: -16.11
Volume, Å³ per cell: 83.97
ρ, g/cm³: 9.9

Cell and atoms, written as Quantum ESPRESSO input:
```
&SYSTEM
  ibrav = 0, nat = 3, ntyp = 3
/
ATOMIC_SPECIES
La 138.91 La.upf
Er 167.26 Er.upf
Pt 195.08 Pt.upf
CELL_PARAMETERS angstrom
4.656 0.000 0.000
-2.328 4.032 0.000
0.000 0.000 4.473
ATOMIC_POSITIONS crystal
La 0.000 0.000 0.000
Er 0.333 0.667 0.492
Pt 0.667 0.333 0.653
```

---

Density functional theory data (GGA-PBE) for a relaxed structure of LaErPt. Values from VASP.

Calculated values
D(E_F), states/eV/atom: 1.18
Energy above the most stable polymorph in this dataset, meV/atom: 29
Formation enthalpy at 0 K, kcal/mol of atoms: -20.67
Volume, Å³ per cell: 164.46
ρ, g/cm³: 10.1

Cell and atoms, written as Quantum ESPRESSO input:
```
&SYSTEM
  ibrav = 0, nat = 6, ntyp = 3
/
ATOMIC_SPECIES
La 138.91 La.upf
Er 167.26 Er.upf
Pt 195.08 Pt.upf
CELL_PARAMETERS angstrom
3.394 -3.394 0.000
3.394 3.394 0.000
-0.113 0.000 7.139
ATOMIC_POSITIONS crystal
La 0.250 0.250 0.115
La 0.750 0.750 0.885
Er 0.249 0.751 0.500
Er 0.751 0.249 0.500
Pt 0.256 0.256 0.717
Pt 0.744 0.744 0.283
```